[1]
## Nd3Y3ErS8 (GGA-PBE)

Data for a geometry-optimized Nd3Y3ErS8 structure.

a b c (Å): 7.919 7.919 7.999
angles (deg): 119.67 90.00 120.00
Atoms (fractional coordinates):
Nd1 0.000 0.000 0.000
Nd2 0.000 0.500 0.000
Nd3 0.500 0.500 0.000
Y1 0.500 0.000 0.500
Y2 0.500 0.500 0.500
Y3 0.000 0.500 0.500
Er1 0.000 0.000 0.500
S1 0.255 0.509 0.264
S2 0.745 0.491 0.736
S3 0.755 0.511 0.264
S4 0.245 0.489 0.736
S5 0.755 0.009 0.264
S6 0.245 0.991 0.736
S7 0.253 0.009 0.264
S8 0.747 0.991 0.736

Values from the calculation:
Symmetry: No. 166
Total energy, eV/atom: -6.81
Total moment, Bohr magnetons per cell: 0.00
Energy relative to the elements, uncorrected, eV/atom: -2.05
Crystal system: trigonal

=====

[2]
## IrPt2Br (GGA-PBE)

Data for a geometry-optimized IrPt2Br structure.

a b c (Å): 2.830 2.830 10.310
angles (deg): 90.00 90.00 121.36
Atoms (fractional coordinates):
Ir1 0.500 0.500 0.750
Br1 0.500 0.500 0.250
Pt1 0.000 0.000 0.972
Pt2 0.000 0.000 0.528

Values from the calculation:
Symmetry: No. 65
Total energy, eV/atom: -5.12
Total moment, Bohr magnetons per cell: 0.00
Energy relative to the elements, uncorrected, eV/atom: 0.54
Crystal system: orthorhombic

=====

[3]
## Bi2Sb2Br (GGA-PBE)

Data for a geometry-optimized Bi2Sb2Br structure.

a b c (Å): 5.281 5.281 7.435
angles (deg): 69.20 69.20 90.00
Atoms (fractional coordinates):
Sb1 0.377 0.377 0.246
Sb2 0.623 0.623 0.754
Bi1 0.750 0.250 0.500
Bi2 0.250 0.750 0.500
Br1 0.000 0.000 0.000

Values from the calculation:
Symmetry: No. 139
Total energy, eV/atom: -3.53
Total moment, Bohr magnetons per cell: 0.00
Energy relative to the elements, uncorrected, eV/atom: 0.01
Crystal system: tetragonal

=====

[4]
## Tm2Sc4Se9 (GGA-PBE)

Data for a geometry-optimized Tm2Sc4Se9 structure.

a b c (Å): 6.883 6.884 18.798
angles (deg): 90.00 90.00 60.00
Atoms (fractional coordinates):
Tm1 0.000 0.000 0.347
Tm2 0.000 0.000 0.153
Tm3 0.000 0.000 0.653
Tm4 0.000 0.000 0.847
Sc1 0.333 0.333 0.990
Sc2 0.333 0.333 0.490
Sc3 0.667 0.667 0.010
Sc4 0.333 0.333 0.178
Sc5 0.667 0.667 0.510
Sc6 0.666 0.667 0.322
Sc7 0.334 0.333 0.678
Sc8 0.667 0.667 0.822
Se1 0.000 0.320 0.750
Se2 0.320 0.680 0.750
Se3 0.681 0.000 0.750
Se4 0.000 0.680 0.250
Se5 0.680 0.320 0.250
Se6 0.319 0.000 0.250
Se7 0.653 0.980 0.417
Se8 0.979 0.367 0.417
Se9 0.367 0.654 0.417
Se10 0.633 0.020 0.083
Se11 0.346 0.633 0.083
Se12 0.020 0.346 0.083
Se13 0.347 0.020 0.583
Se14 0.021 0.633 0.583
Se15 0.633 0.346 0.583
Se16 0.367 0.980 0.917
Se17 0.654 0.367 0.917
Se18 0.980 0.654 0.917

Values from the calculation:
Symmetry: No. 165
Total energy, eV/atom: -6.09
Total moment, Bohr magnetons per cell: 0.00
Energy relative to the elements, uncorrected, eV/atom: -1.72
Crystal system: trigonal

=====

[5]
## Sc2InCo (GGA-PBE)

Data for a geometry-optimized Sc2InCo structure.

a b c (Å): 3.147 3.147 7.927
angles (deg): 90.00 90.00 90.00
Atoms (fractional coordinates):
Co1 0.000 0.000 0.498
In1 0.500 0.500 0.705
Sc1 0.000 0.000 0.982
Sc2 0.500 0.500 0.315

Values from the calculation:
Energy relative to the elements, eV/atom: -0.159
Symmetry: No. 99
Total energy, eV/atom: -5.79
Total moment, Bohr magnetons per cell: 0.84
Crystal system: tetragonal

=====

[6]
## Rb2YSi (GGA-PBE)

Data for a geometry-optimized Rb2YSi structure.

a b c (Å): 5.286 5.286 13.259
angles (deg): 90.00 90.00 90.00
Atoms (fractional coordinates):
Y1 0.000 0.000 0.500
Y2 0.500 0.500 0.500
Si1 0.000 0.500 0.595
Si2 0.500 0.000 0.405
Rb1 0.000 0.500 0.878
Rb2 0.500 0.000 0.122
Rb3 0.000 0.500 0.282
Rb4 0.500 0.000 0.718

Values from the calculation:
Symmetry: No. 129
Total energy, eV/atom: -3.61
Total moment, Bohr magnetons per cell: 0.00
Energy relative to the elements, uncorrected, eV/atom: -0.15
Crystal system: tetragonal

=====

[7]
## Na3Zr3AgSe8 (GGA-PBE)

Data for a geometry-optimized Na3Zr3AgSe8 structure.

a b c (Å): 7.858 7.865 8.344
angles (deg): 118.12 89.99 119.97
Atoms (fractional coordinates):
Na1 0.000 0.000 0.000
Na2 0.000 0.500 0.000
Na3 0.500 0.500 0.000
Zr1 0.500 0.000 0.500
Zr2 0.500 0.500 0.500
Zr3 0.000 0.500 0.500
Ag1 0.000 0.000 0.500
Se1 0.258 0.516 0.274
Se2 0.742 0.484 0.726
Se3 0.751 0.502 0.278
Se4 0.249 0.498 0.722
Se5 0.751 0.028 0.279
Se6 0.249 0.972 0.721
Se7 0.277 0.028 0.279
Se8 0.723 0.972 0.721

Values from the calculation:
Symmetry: No. 12
Total energy, eV/atom: -5.14
Total moment, Bohr magnetons per cell: 0.00
Energy relative to the elements, uncorrected, eV/atom: -1.12
Crystal system: monoclinic

=====

[8]
## Nd3Np5O12 (GGA-PBE)

Data for a geometry-optimized Nd3Np5O12 structure.

a b c (Å): 11.938 11.938 11.938
angles (deg): 109.47 109.47 109.47
Atoms (fractional coordinates):
Np1 0.125 0.375 0.250
Np2 0.000 0.500 0.000
Np3 0.000 0.000 0.000
Np4 0.375 0.250 0.125
Np5 0.500 0.000 0.500
Np6 0.500 0.500 0.000
Np7 0.125 0.750 0.375
Np8 0.750 0.125 0.875
Np9 0.750 0.625 0.375
Np10 0.375 0.125 0.750
Np11 0.625 0.875 0.250
Np12 0.500 0.500 0.500
Np13 0.500 0.000 0.000
Np14 0.000 0.000 0.500
Np15 0.250 0.375 0.625
Np16 0.250 0.875 0.125
Np17 0.000 0.500 0.500
Np18 0.875 0.250 0.625
Np19 0.625 0.750 0.875
Np20 0.875 0.625 0.750
Nd1 0.750 0.375 0.125
Nd2 0.875 0.750 0.125
Nd3 0.375 0.750 0.625
Nd4 0.250 0.125 0.375
Nd5 0.875 0.125 0.250
Nd6 0.375 0.625 0.250
Nd7 0.625 0.375 0.750
Nd8 0.125 0.875 0.750
Nd9 0.750 0.875 0.625
Nd10 0.625 0.250 0.375
Nd11 0.125 0.250 0.875
Nd12 0.250 0.625 0.875
O1 0.717 0.131 0.044
O2 0.327 0.544 0.413
O3 0.956 0.369 0.283
O4 0.544 0.217 0.131
O5 0.586 0.717 0.673
O6 0.956 0.587 0.173
O7 0.327 0.783 0.414
O8 0.087 0.914 0.131
O9 0.587 0.956 0.673
O10 0.717 0.586 0.173
O11 0.783 0.456 0.369
O12 0.827 0.913 0.044
O13 0.131 0.717 0.544
O14 0.369 0.413 0.086
O15 0.086 0.913 0.369
O16 0.414 0.131 0.587
O17 0.086 0.173 0.217
O18 0.456 0.673 0.087
O19 0.827 0.914 0.283
O20 0.131 0.414 0.087
O21 0.369 0.956 0.783
O22 0.587 0.631 0.414
O23 0.913 0.827 0.544
O24 0.783 0.327 0.914
O25 0.413 0.369 0.586
O26 0.087 0.173 0.456
O27 0.217 0.673 0.086
O28 0.173 0.086 0.717
O29 0.631 0.044 0.217
O30 0.869 0.586 0.913
O31 0.544 0.327 0.913
O32 0.586 0.869 0.413
O33 0.914 0.827 0.783
O34 0.914 0.087 0.631
O35 0.869 0.283 0.456
O36 0.173 0.087 0.956
O37 0.631 0.587 0.914
O38 0.413 0.044 0.327
O39 0.283 0.414 0.827
O40 0.217 0.544 0.631
O41 0.913 0.086 0.869
O42 0.673 0.217 0.586
O43 0.456 0.783 0.869
O44 0.044 0.413 0.827
O45 0.414 0.283 0.327
O46 0.044 0.631 0.717
O47 0.673 0.456 0.587
O48 0.283 0.869 0.956

Values from the calculation:
Symmetry: No. 230
Total energy, eV/atom: -9.77
Total moment, Bohr magnetons per cell: 76.92
Energy relative to the elements, uncorrected, eV/atom: -2.84
Crystal system: cubic

=====

[9]
## MnTe2Au (GGA-PBE)

Data for a geometry-optimized MnTe2Au structure.

a b c (Å): 4.922 4.554 4.556
angles (deg): 76.99 90.00 90.00
Atoms (fractional coordinates):
Au1 0.000 0.525 0.525
Mn1 0.500 0.726 0.726
Te1 0.000 0.923 0.924
Te2 0.500 0.325 0.325

Values from the calculation:
Symmetry: No. 38
Total energy, eV/atom: -4.74
Total moment, Bohr magnetons per cell: 4.32
Energy relative to the elements, uncorrected, eV/atom: -0.06
Crystal system: orthorhombic

=====

[10]
## TbCe4Th (GGA-PBE)

Data for a geometry-optimized TbCe4Th structure.

a b c (Å): 5.977 4.837 6.841
angles (deg): 89.97 73.29 66.13
Atoms (fractional coordinates):
Tb1 0.000 0.000 0.000
Ce1 0.339 0.330 0.168
Ce2 0.661 0.670 0.832
Ce3 0.658 0.671 0.337
Ce4 0.342 0.329 0.663
Th1 0.000 0.000 0.500

Values from the calculation:
Energy relative to the elements, eV/atom: 0.063
Symmetry: No. 12
Total energy, eV/atom: -5.90
Total moment, Bohr magnetons per cell: 0.00
Crystal system: monoclinic

=====

[11]
## LaCoCl2 (GGA-PBE)

Data for a geometry-optimized LaCoCl2 structure.

a b c (Å): 4.488 4.571 4.595
angles (deg): 88.26 90.00 90.00
Atoms (fractional coordinates):
Cl1 0.000 0.019 0.019
Cl2 0.000 0.481 0.481
Co1 0.500 0.250 0.250
La1 0.500 0.750 0.750

Values from the calculation:
Symmetry: No. 10
Total energy, eV/atom: -4.62
Total moment, Bohr magnetons per cell: 1.84
Energy relative to the elements, uncorrected, eV/atom: -0.69
Crystal system: monoclinic

=====

[12]
## Sc2CdHg4 (GGA-PBE)

Data for a geometry-optimized Sc2CdHg4 structure.

a b c (Å): 5.363 5.363 8.215
angles (deg): 70.95 70.95 90.00
Atoms (fractional coordinates):
Sc1 0.398 0.398 0.203
Sc2 0.602 0.602 0.797
Hg1 0.203 0.203 0.594
Hg2 0.797 0.797 0.406
Hg3 0.000 0.500 0.000
Hg4 0.500 0.000 0.000
Cd1 0.000 0.000 0.000

Values from the calculation:
Energy relative to the elements, eV/atom: 0.179
Symmetry: No. 139
Total energy, eV/atom: -1.93
Total moment, Bohr magnetons per cell: 0.00
Crystal system: tetragonal

=====

Look up the total energy of the tenth one.
-5.90 eV/atom

=====

Which formula does entry 12 have?
Sc2CdHg4

=====

Which formula does entry 12 have?
Sc2CdHg4